(1)
CsKNa2: relaxed, GGA-PBEsol.

Properties
final energy: -1.1867 eV/atom
formation energy from the elements: 32 meV/atom
space-group type: Fm-3m
DOS at the Fermi energy: 0.708 states/eV per atom

Lattice parameters (Å, degrees): 6.943 6.943 6.943 60.00 60.00 60.00
Positions (direct):
Cs (0.000, 0.000, 0.000)
K (0.500, 0.500, 0.500)
Na (0.250, 0.250, 0.250)
Na (0.750, 0.750, 0.750)

---

(2)
MnPbS2: relaxed, GGA-PBEsol.

Properties
final energy: -6.1192 eV/atom
space-group type: R-3m
DOS at the Fermi energy: 0.467 states/eV per atom

Lattice parameters (Å, degrees): 8.540 8.540 8.540 22.40 22.40 22.40
Positions (direct):
Mn (0.000, 0.000, 0.000)
Pb (0.500, 0.500, 0.500)
S (0.384, 0.384, 0.384)
S (0.616, 0.616, 0.616)

---

(3)
CoRe2Cl: relaxed, GGA-PBEsol.

Properties
final energy: -8.5215 eV/atom
space-group type: Cmm2
DOS at the Fermi energy: 1.205 states/eV per atom

Lattice parameters (Å, degrees): 2.755 2.755 8.478 90.00 90.00 117.69
Positions (direct):
Co (0.000, 0.000, 0.000)
Re (0.000, 0.000, 0.501)
Re (0.500, 0.500, 0.754)
Cl (0.500, 0.500, 0.217)

---

Copy entry 2 word for word.
MnPbS2: relaxed, GGA-PBEsol.

Properties
final energy: -6.1192 eV/atom
space-group type: R-3m
DOS at the Fermi energy: 0.467 states/eV per atom

Lattice parameters (Å, degrees): 8.540 8.540 8.540 22.40 22.40 22.40
Positions (direct):
Mn (0.000, 0.000, 0.000)
Pb (0.500, 0.500, 0.500)
S (0.384, 0.384, 0.384)
S (0.616, 0.616, 0.616)

---

The lowest final energy belongs to which entry?
CoRe2Cl